VASP calculation (PBE) on a relaxed ScHS crystal.

## Properties
SG: No. 62
Raw total energy, eV per formula unit: -17.4
Volume, Å³/cell: 177

a b c (Å): 6.336 3.576 7.806
angles (deg): 90.00 90.00 90.00
Positions (direct):
Sc: 0.231 0.250 0.008
Sc: 0.269 0.750 0.508
Sc: 0.731 0.250 0.492
Sc: 0.769 0.750 0.992
H: 0.086 0.750 0.034
H: 0.414 0.250 0.534
H: 0.586 0.750 0.466
H: 0.914 0.250 0.966
S: 0.077 0.250 0.320
S: 0.423 0.750 0.820
S: 0.577 0.250 0.180
S: 0.923 0.750 0.680